Entry 1:
Compound: Zr2TiSe5
Source: Alexandria
Functional: PBE
Structure: optimized geometry

**Space group**: Cmcm, No. 63
**Energy**: -6.452 eV per atom
**Uncorrected formation energy**: -1150 meV per atom
**N(E_F)**: 4.03 states/eV/f.u.
**Size of the total moment**: 0.812 μB/f.u.

abc: 6.8494 6.8494 12.5083
angles: 90.00 90.00 134.95
With the nearest neighbours (Å) after each atom.
Positions (direct):
Zr  0.1684  0.8316  0.5440  6 Se 2.61-2.83
Zr  0.1684  0.8316  0.9560  6 Se 2.61-2.83
Zr  0.8316  0.1684  0.0440  6 Se 2.61-2.83
Zr  0.8316  0.1684  0.4560  6 Se 2.61-2.83
Ti  0.1886  0.8114  0.2500  6 Se 2.46-2.75
Ti  0.8114  0.1886  0.7500  6 Se 2.46-2.75
Se  0.0422  0.9578  0.1210  1 Ti 2.46, 1 Zr 2.61
Se  0.0422  0.9578  0.3790  1 Ti 2.46, 1 Zr 2.61
Se  0.2589  0.7411  0.7500  2 Ti 2.71, 2 Zr 2.82
Se  0.3364  0.6636  0.0888  3 Zr 2.68-2.70, 1 Ti 2.75
Se  0.3364  0.6636  0.4112  3 Zr 2.68-2.70, 1 Ti 2.75
Se  0.6636  0.3364  0.5888  3 Zr 2.68-2.70, 1 Ti 2.75
Se  0.6636  0.3364  0.9112  3 Zr 2.68-2.70, 1 Ti 2.75
Se  0.7411  0.2589  0.2500  2 Ti 2.71, 2 Zr 2.82
Se  0.9578  0.0422  0.6210  1 Ti 2.46, 1 Zr 2.61
Se  0.9578  0.0422  0.8790  1 Ti 2.46, 1 Zr 2.61

---

Entry 2:
Compound: CuTcRh2
Source: Alexandria
Functional: PBE
Structure: optimized geometry

**Space group**: P4/mmm, No. 123
**Energy**: -7.150 eV per atom
**Excess energy over the best structure of this formula in the dataset**: 208 meV per atom
**N(E_F)**: 4.95 states/eV/f.u.
**Energy of formation from the pure elements**: 142 meV per atom
**Size of the total moment**: 1.565 μB/f.u.

abc: 3.8937 3.8937 3.6782
angles: 90.00 90.00 90.00
With the nearest neighbours (Å) after each atom.
Positions (direct):
Cu  0.0000  0.0000  0.0000  8 Rh 2.68, 4 Tc 2.75
Tc  0.5000  0.5000  0.0000  8 Rh 2.68, 4 Cu 2.75
Rh  0.0000  0.5000  0.5000  4 Cu 2.68, 4 Tc 2.68, 4 Rh 2.75
Rh  0.5000  0.0000  0.5000  4 Cu 2.68, 4 Tc 2.68, 4 Rh 2.75

---

Entry 3:
Compound: PaCoCuAu
Source: Alexandria
Functional: PBE
Structure: optimized geometry

**Space group**: F-43m, No. 216
**Energy**: -6.065 eV per atom
**N(E_F)**: 4.61 states/eV/f.u.
**Energy of formation from the pure elements**: -71 meV per atom
**Size of the total moment**: 0.000 μB/f.u.

abc: 6.4815 6.4815 6.4815
angles: 90.00 90.00 90.00
With the nearest neighbours (Å) after each atom.
Positions (direct):
Pa  0.0000  0.0000  0.0000  4 Co 2.81, 4 Cu 2.81
Pa  0.0000  0.5000  0.5000  4 Co 2.81, 4 Cu 2.81
Pa  0.5000  0.0000  0.5000  4 Co 2.81, 4 Cu 2.81
Pa  0.5000  0.5000  0.0000  4 Co 2.81, 4 Cu 2.81
Co  0.2500  0.2500  0.7500  4 Pa 2.81, 4 Au 2.81
Co  0.2500  0.7500  0.2500  4 Pa 2.81, 4 Au 2.81
Co  0.7500  0.2500  0.2500  4 Pa 2.81, 4 Au 2.81
Co  0.7500  0.7500  0.7500  4 Pa 2.81, 4 Au 2.81
Cu  0.2500  0.2500  0.2500  4 Pa 2.81, 4 Au 2.81
Cu  0.2500  0.7500  0.7500  4 Pa 2.81, 4 Au 2.81
Cu  0.7500  0.2500  0.7500  4 Pa 2.81, 4 Au 2.81
Cu  0.7500  0.7500  0.2500  4 Pa 2.81, 4 Au 2.81
Au  0.0000  0.0000  0.5000  4 Cu 2.81, 4 Co 2.81
Au  0.0000  0.5000  0.0000  4 Cu 2.81, 4 Co 2.81
Au  0.5000  0.0000  0.0000  4 Cu 2.81, 4 Co 2.81
Au  0.5000  0.5000  0.5000  4 Cu 2.81, 4 Co 2.81

---

Entry 4:
Compound: Hf2NbBrO
Source: Alexandria
Functional: PBE
Structure: optimized geometry

**Space group**: P4/mmm, No. 123
**Energy**: -7.835 eV per atom
**Uncorrected formation energy**: -513 meV per atom
**N(E_F)**: 4.74 states/eV/f.u.
**Size of the total moment**: 0.000 μB/f.u.

abc: 4.1956 4.1956 5.3221
angles: 90.00 90.00 90.00
With the nearest neighbours (Å) after each atom.
Positions (direct):
Hf  0.0000  0.5000  0.0000  2 O 2.10
Hf  0.5000  0.0000  0.0000  2 O 2.10
Nb  0.0000  0.0000  0.5000  4 Br 2.97
Br  0.5000  0.5000  0.5000  2 O 2.66, 4 Nb 2.97
O  0.5000  0.5000  0.0000  4 Hf 2.10

---

Entry 5:
Compound: Ti4NbRu3
Source: Alexandria
Functional: PBE
Structure: optimized geometry

**Space group**: Pmmm, No. 47
**Energy**: -9.228 eV per atom
**N(E_F)**: 5.80 states/eV/f.u.
**Energy of formation from the pure elements**: -543 meV per atom
**Size of the total moment**: 0.000 μB/f.u.

abc: 3.0859 4.4326 8.9153
angles: 90.00 90.00 90.00
With the nearest neighbours (Å) after each atom.
Positions (direct):
Ti  0.0000  0.0000  0.0000  8 Ru 2.67-2.70
Ti  0.0000  0.0000  0.5000  4 Nb 2.70, 4 Ru 2.75
Ti  0.0000  0.5000  0.2391  6 Ru 2.63-2.70, 2 Nb 2.79
Ti  0.0000  0.5000  0.7609  6 Ru 2.63-2.70, 2 Nb 2.79
Nb  0.5000  0.5000  0.5000  8 Ti 2.70-2.79
Ru  0.5000  0.0000  0.2444  8 Ti 2.67-2.75
Ru  0.5000  0.0000  0.7556  8 Ti 2.67-2.75
Ru  0.5000  0.5000  0.0000  8 Ti 2.63-2.70

---

Entry 6:
Compound: Mn2RuPt
Source: Alexandria
Functional: PBE
Structure: optimized geometry

**Space group**: Cm, No. 8
**Energy**: -8.422 eV per atom
**N(E_F)**: 4.34 states/eV/f.u.
**Energy of formation from the pure elements**: -9 meV per atom
**Size of the total moment**: 5.844 μB/f.u.

abc: 9.0682 2.7794 4.5387
angles: 90.00 100.89 90.00
With the nearest neighbours (Å) after each atom.
Positions (direct):
Mn  0.0000  0.0000  0.0000  4 Ru 2.61-2.71, 3 Pt 2.65-2.68, 5 Mn 2.75-2.82
Mn  0.2421  0.0000  0.7156  3 Ru 2.61-2.67, 4 Pt 2.65-2.67, 5 Mn 2.75-2.82
Mn  0.5000  0.5000  0.0000  4 Ru 2.61-2.71, 3 Pt 2.65-2.68, 5 Mn 2.75-2.82
Mn  0.7421  0.5000  0.7156  3 Ru 2.61-2.67, 4 Pt 2.65-2.67, 5 Mn 2.75-2.82
Ru  0.0004  0.5000  0.5139  7 Mn 2.61-2.71, 2 Ru 2.78, 3 Pt 2.78-2.83
Ru  0.5004  0.0000  0.5139  7 Mn 2.61-2.71, 2 Ru 2.78, 3 Pt 2.78-2.83
Pt  0.2495  0.5000  0.2216  7 Mn 2.65-2.68, 2 Pt 2.78, 3 Ru 2.78-2.83
Pt  0.7495  0.0000  0.2216  7 Mn 2.65-2.68, 2 Pt 2.78, 3 Ru 2.78-2.83

---

Entry 7:
Compound: CeMgAs
Source: Alexandria
Functional: PBE
Structure: optimized geometry

**Space group**: I4mm, No. 107
**Energy**: -4.535 eV per atom
**Excess energy over the best structure of this formula in the dataset**: 95 meV per atom
**N(E_F)**: 5.55 states/eV/f.u.
**Energy of formation from the pure elements**: -475 meV per atom
**Size of the total moment**: 0.987 μB/f.u.

abc: 3.5813 3.5813 11.3236
angles: 90.00 90.00 90.00
With the nearest neighbours (Å) after each atom.
Positions (direct):
Ce  0.0000  0.0000  0.0000  4 As 3.05, 1 Mg 3.18
Ce  0.5000  0.5000  0.5000  4 As 3.05, 1 Mg 3.18
Mg  0.0000  0.0000  0.7189  4 As 2.93, 1 Ce 3.18
Mg  0.5000  0.5000  0.2189  4 As 2.93, 1 Ce 3.18
As  0.0000  0.0000  0.3492  4 Mg 2.93, 4 Ce 3.05
As  0.5000  0.5000  0.8492  4 Mg 2.93, 4 Ce 3.05

---

Entry 8:
Compound: AsPtRh2C
Source: Alexandria
Functional: PBE
Structure: optimized geometry

**Space group**: P4/mmm, No. 123
**Energy**: -5.106 eV per atom
**N(E_F)**: 5.42 states/eV/f.u.
**Energy of formation from the pure elements**: 1818 meV per atom
**Size of the total moment**: 0.825 μB/f.u.

abc: 4.5434 4.5434 4.6103
angles: 90.00 90.00 90.00
With the nearest neighbours (Å) after each atom.
Positions (direct):
As  0.0000  0.0000  0.0000  4 Rh 2.27, 2 Pt 2.31
Pt  0.0000  0.0000  0.5000  2 As 2.31
Rh  0.0000  0.5000  0.0000  2 As 2.27
Rh  0.5000  0.0000  0.0000  2 As 2.27
C  0.5000  0.5000  0.5000  4 Pt 3.21, 8 Rh 3.24

---

Entry 9:
Compound: SmGeSe
Source: Alexandria
Functional: PBE
Structure: optimized geometry

**Space group**: I4/mmm, No. 139
**Energy**: -5.462 eV per atom
**Uncorrected formation energy**: -1188 meV per atom
**N(E_F)**: 1.10 states/eV/f.u.
**Size of the total moment**: 0.000 μB/f.u.

abc: 3.9439 3.9439 18.5561
angles: 90.00 90.00 90.00
With the nearest neighbours (Å) after each atom.
Positions (direct):
Sm  0.0000  0.0000  0.1426  5 Se 2.92-3.12
Sm  0.0000  0.0000  0.8574  5 Se 2.92-3.12
Sm  0.5000  0.5000  0.3574  5 Se 2.92-3.12
Sm  0.5000  0.5000  0.6426  5 Se 2.92-3.12
Ge  0.0000  0.5000  0.0000  4 Ge 2.79
Ge  0.0000  0.5000  0.5000  4 Ge 2.79
Ge  0.5000  0.0000  0.0000  4 Ge 2.79
Ge  0.5000  0.0000  0.5000  4 Ge 2.79
Se  0.0000  0.0000  0.3106  5 Sm 2.92-3.12
Se  0.0000  0.0000  0.6894  5 Sm 2.92-3.12
Se  0.5000  0.5000  0.1894  5 Sm 2.92-3.12
Se  0.5000  0.5000  0.8106  5 Sm 2.92-3.12

---

Entry 10:
Compound: ErAg2F6
Source: Alexandria
Functional: PBE
Structure: optimized geometry

**Space group**: Immm, No. 71
**Energy**: -4.806 eV per atom
**Uncorrected formation energy**: -2418 meV per atom
**Excess energy over the best structure of this formula in the dataset**: 0 meV per atom
**N(E_F)**: 4.32 states/eV/f.u.
**Size of the total moment**: 1.060 μB/f.u.

abc: 7.0344 7.0344 7.0344
angles: 149.07 133.48 56.91
With the nearest neighbours (Å) after each atom.
Positions (direct):
Er  0.0000  0.0000  0.0000  8 F 2.25-2.32
Ag  0.3325  0.3325  0.0000  8 F 2.36-2.63
Ag  0.6675  0.6675  0.0000  8 F 2.36-2.63
F  0.0947  0.8488  0.2459  1 Er 2.32, 2 Ag 2.36
F  0.2227  0.5000  0.7227  2 Er 2.25, 1 F 2.47
F  0.3970  0.1512  0.2459  1 Er 2.32, 2 Ag 2.36
F  0.6030  0.8488  0.7541  1 Er 2.32, 2 Ag 2.36
F  0.7773  0.5000  0.2773  2 Er 2.25, 1 F 2.47
F  0.9053  0.1512  0.7541  1 Er 2.32, 2 Ag 2.36

---

Entry 11:
Compound: PmEuInPb
Source: Alexandria
Functional: PBE
Structure: optimized geometry

**Space group**: F-43m, No. 216
**Energy**: -5.833 eV per atom
**N(E_F)**: 1.95 states/eV/f.u.
**Energy of formation from the pure elements**: -465 meV per atom
**Size of the total moment**: 7.193 μB/f.u.

abc: 7.8512 7.8512 7.8512
angles: 90.00 90.00 90.00
With the nearest neighbours (Å) after each atom.
Positions (direct):
Pm  0.0000  0.0000  0.0000  4 Pb 3.40, 4 In 3.40
Pm  0.0000  0.5000  0.5000  4 Pb 3.40, 4 In 3.40
Pm  0.5000  0.0000  0.5000  4 Pb 3.40, 4 In 3.40
Pm  0.5000  0.5000  0.0000  4 Pb 3.40, 4 In 3.40
Eu  0.0000  0.0000  0.5000  4 In 3.40, 4 Pb 3.40
Eu  0.0000  0.5000  0.0000  4 In 3.40, 4 Pb 3.40
Eu  0.5000  0.0000  0.0000  4 In 3.40, 4 Pb 3.40
Eu  0.5000  0.5000  0.5000  4 In 3.40, 4 Pb 3.40
In  0.2500  0.2500  0.2500  4 Pm 3.40, 4 Eu 3.40
In  0.2500  0.7500  0.7500  4 Pm 3.40, 4 Eu 3.40
In  0.7500  0.2500  0.7500  4 Pm 3.40, 4 Eu 3.40
In  0.7500  0.7500  0.2500  4 Pm 3.40, 4 Eu 3.40
Pb  0.2500  0.2500  0.7500  4 Eu 3.40, 4 Pm 3.40
Pb  0.2500  0.7500  0.2500  4 Eu 3.40, 4 Pm 3.40
Pb  0.7500  0.2500  0.2500  4 Eu 3.40, 4 Pm 3.40
Pb  0.7500  0.7500  0.7500  4 Pm 3.40, 4 Eu 3.40

---

Entry 12:
Compound: RbMgUCl6
Source: Alexandria
Functional: PBE
Structure: optimized geometry

**Space group**: P-31c, No. 163
**Energy**: -4.586 eV per atom
**Uncorrected formation energy**: -1816 meV per atom
**Size of the total moment**: 3.000 μB/f.u.

abc: 6.9820 6.9820 14.3932
angles: 90.00 90.00 120.00
With the nearest neighbours (Å) after each atom.
Positions (direct):
Rb  0.0000  0.0000  0.0000  6 Cl 3.37
Rb  0.0000  0.0000  0.5000  6 Cl 3.37
Mg  0.3333  0.6667  0.2500  6 Cl 2.55
Mg  0.6667  0.3333  0.7500  6 Cl 2.55
U  0.3333  0.6667  0.7500  6 Cl 2.77
U  0.6667  0.3333  0.2500  6 Cl 2.77
Cl  0.0240  0.3870  0.1465  1 Mg 2.55, 1 U 2.77
Cl  0.0240  0.6369  0.3535  1 Mg 2.55, 1 U 2.77
Cl  0.3631  0.3870  0.3535  1 Mg 2.55, 1 U 2.77
Cl  0.3631  0.9760  0.1465  1 Mg 2.55, 1 U 2.77
Cl  0.3870  0.0240  0.6465  1 Mg 2.55, 1 U 2.77
Cl  0.3870  0.3631  0.8535  1 Mg 2.55, 1 U 2.77
Cl  0.6130  0.6369  0.1465  1 Mg 2.55, 1 U 2.77
Cl  0.6130  0.9760  0.3535  1 Mg 2.55, 1 U 2.77
Cl  0.6369  0.0240  0.8535  1 Mg 2.55, 1 U 2.77
Cl  0.6369  0.6130  0.6465  1 Mg 2.55, 1 U 2.77
Cl  0.9760  0.3631  0.6465  1 Mg 2.55, 1 U 2.77
Cl  0.9760  0.6130  0.8535  1 Mg 2.55, 1 U 2.77